# 1
The following is a DFT calculation (PBE-GGA) of a geometry-optimized Nd12Tm3Th structure.

The calculation puts the total DFT energy (no corrections) at -4.85 eV/atom. Its formation energy is 27 meV per atom.

Lattice parameters (Å, degrees): 5.1488 5.1488 20.5550 90.00 90.00 90.00
Fractional positions:
Nd 0.5000 0.0000 0.6248
Tm 0.0000 0.0000 0.7489
Nd 0.5000 0.5000 0.7471
Tm 0.0000 0.0000 0.5000
Nd 0.0000 0.5000 0.3752
Th 0.0000 0.0000 0.0000
Tm 0.0000 0.0000 0.2511
Nd 0.5000 0.0000 0.1243
Nd 0.5000 0.5000 0.2529
Nd 0.0000 0.5000 0.8757
Nd 0.5000 0.5000 0.5000
Nd 0.5000 0.5000 0.0000
Nd 0.5000 0.0000 0.8757
Nd 0.5000 0.0000 0.3752
Nd 0.0000 0.5000 0.1243
Nd 0.0000 0.5000 0.6248

# 2
The following is a DFT calculation (PBE-GGA) of a geometry-optimized VFeTe2 structure.

The calculation puts the total DFT energy (no corrections) at -5.72 eV/atom. Its formation energy from raw total energies is 0.243 eV per atom.

Lattice parameters (Å, degrees): 6.0673 6.0673 7.4745 66.05 66.05 90.00
Each line ends with the local moment (μB).
Fractional positions:
Fe 0.0000 0.0000 0.0000  2.73
Te 0.8750 0.8877 0.7500  -0.07
Fe 0.7500 0.2500 0.5000  2.73
V 0.5000 0.5000 0.0000  2.39
Te 0.6377 0.1250 0.2500  -0.07
Te 0.3750 0.3623 0.7500  -0.07
Te 0.1123 0.6250 0.2500  -0.07
V 0.2500 0.7500 0.5000  2.39

# 3
The following is a DFT calculation (PBE-GGA) of a geometry-optimized HfZnTe2 structure.

The calculation puts the total DFT energy (no corrections) at -4.15 eV/atom. Its formation energy from raw total energies is 0.233 eV per atom.

Lattice parameters (Å, degrees): 9.1465 9.1465 9.1465 24.23 24.23 24.23
Fractional positions:
Zn 0.5000 0.5000 0.5000
Te 0.1033 0.1033 0.1033
Te 0.8967 0.8967 0.8967
Hf 0.0000 0.0000 0.0000

# 4
The following is a DFT calculation (PBE-GGA) of a geometry-optimized Mn4V3Co structure.

The calculation puts the total DFT energy (no corrections) at -9.06 eV/atom. Its formation energy is -170 meV per atom.

Lattice parameters (Å, degrees): 2.8923 2.8923 11.4344 90.00 90.00 90.00
Each line ends with the local moment (μB).
Fractional positions:
Co 0.5000 0.5000 0.0000  1.70
V 0.5000 0.5000 0.2485  -0.71
Mn 0.0000 0.0000 0.3742  0.55
V 0.5000 0.5000 0.7515  -0.71
V 0.5000 0.5000 0.5000  -0.36
Mn 0.0000 0.0000 0.1232  2.17
Mn 0.0000 0.0000 0.6258  0.55
Mn 0.0000 0.0000 0.8768  2.17

# 5
The following is a DFT calculation (PBE-GGA) of a geometry-optimized SmGdTe2 structure.

The calculation puts the total DFT energy (no corrections) at -7.55 eV/atom. Its formation energy from raw total energies is -1.279 eV per atom.

Lattice parameters (Å, degrees): 3.8291 3.8291 7.6659 90.00 90.00 90.00
Each line ends with the local moment (μB).
Fractional positions:
Te 0.0000 0.0000 0.2508  -0.03
Te 0.0000 0.0000 0.7492  -0.03
Sm 0.5000 0.5000 0.0000  0.25
Gd 0.5000 0.5000 0.5000  7.30

# 6
The following is a DFT calculation (PBE-GGA) of a geometry-optimized AcLa2Tl2Zn2 structure.

The calculation puts the total DFT energy (no corrections) at -3.28 eV/atom. Its formation energy is -245 meV per atom.

Lattice parameters (Å, degrees): 4.7859 4.7859 10.3231 76.60 76.60 60.00
Fractional positions:
Ac 0.0000 0.0000 0.0000
Zn 0.5761 0.5761 0.2718
Tl 0.2633 0.2633 0.2102
La 0.1402 0.1402 0.5793
Zn 0.4239 0.4239 0.7282
La 0.8598 0.8598 0.4207
Tl 0.7367 0.7367 0.7898

# 7
The following is a DFT calculation (PBE-GGA) of a geometry-optimized Hf2NiHRu structure.

The calculation puts the total DFT energy (no corrections) at -8.06 eV/atom.

Lattice parameters (Å, degrees): 4.4548 4.4548 3.5309 90.00 90.00 90.00
Fractional positions:
Ru 0.0000 0.0000 0.5000
Hf 0.5000 0.0000 0.0000
H 0.0000 0.0000 0.0000
Ni 0.5000 0.5000 0.5000
Hf 0.0000 0.5000 0.0000

# 8
The following is a DFT calculation (PBE-GGA) of a geometry-optimized MgZn2GePd structure.

The calculation puts the total DFT energy (no corrections) at -1.99 eV/atom. Its formation energy is 802 meV per atom.

Lattice parameters (Å, degrees): 4.8102 4.8888 4.8102 90.00 90.00 90.00
Fractional positions:
Zn 0.0000 0.0000 0.5000
Pd 0.5000 0.5000 0.5000
Mg 0.0000 0.0000 0.0000
Ge 0.0000 0.5000 0.0000
Zn 0.5000 0.0000 0.0000

# 9
The following is a DFT calculation (PBE-GGA) of a geometry-optimized PmY3Er2S6 structure.

The calculation puts the total DFT energy (no corrections) at -6.83 eV/atom. Its formation energy from raw total energies is -1.990 eV per atom.

Lattice parameters (Å, degrees): 6.7988 6.7988 6.7835 99.58 99.58 120.19
Fractional positions:
Er 0.6658 0.3342 0.0000
Er 0.3342 0.6658 0.0000
Pm 0.0000 0.0000 0.0000
S 0.7396 0.7396 0.2477
S 0.5731 0.9165 0.7489
S 0.0835 0.4269 0.2511
Y 0.5000 0.5000 0.5000
S 0.4269 0.0835 0.2511
S 0.9165 0.5731 0.7489
Y 0.1617 0.8383 0.5000
Y 0.8383 0.1617 0.5000
S 0.2604 0.2604 0.7523

# 10
The following is a DFT calculation (PBE-GGA) of a geometry-optimized VPd2PbC structure.

The calculation puts the total DFT energy (no corrections) at -3.93 eV/atom. Its formation energy is 2562 meV per atom.

Lattice parameters (Å, degrees): 5.0173 5.1358 5.0173 90.00 90.00 90.00
Each line ends with the local moment (μB).
Fractional positions:
Pb 0.0000 0.0000 0.0000  -0.03
C 0.5000 0.5000 0.5000  0.36
Pd 0.5000 0.0000 0.0000  0.01
Pd 0.0000 0.0000 0.5000  -0.01
V 0.0000 0.5000 0.0000  0.31

# 11
The following is a DFT calculation (PBE-GGA) of a geometry-optimized Mg2HgSbIr structure.

The calculation puts the total DFT energy (no corrections) at -3.44 eV/atom. Its formation energy from raw total energies is -0.147 eV per atom.

Lattice parameters (Å, degrees): 5.1787 4.9101 5.1787 90.00 90.00 90.00
Fractional positions:
Ir 0.0000 0.0000 0.0000
Mg 0.5000 0.0000 0.0000
Mg 0.0000 0.0000 0.5000
Hg 0.5000 0.5000 0.5000
Sb 0.0000 0.5000 0.0000

# 12
The following is a DFT calculation (PBE-GGA) of a geometry-optimized SrZn2W structure.

The calculation puts the total DFT energy (no corrections) at -3.41 eV/atom. Its formation energy is 887 meV per atom.

Lattice parameters (Å, degrees): 4.8763 4.8763 9.7832 75.57 75.57 90.00
Each line ends with the local moment (μB).
Fractional positions:
Zn 0.9104 0.6250 0.2500  0.02
Sr 0.2500 0.7500 0.5000  0.04
Zn 0.3750 0.1604 0.7500  0.03
W 0.7500 0.2500 0.5000  1.74
Zn 0.8396 0.1250 0.2500  0.02
Sr 0.5000 0.5000 0.0000  0.04
W 0.0000 0.0000 0.0000  1.75
Zn 0.8750 0.0896 0.7500  0.03

# 13
The following is a DFT calculation (PBE-GGA) of a geometry-optimized NdTmSn2 structure.

The calculation puts the total DFT energy (no corrections) at -4.93 eV/atom. Its formation energy is -618 meV per atom.

Lattice parameters (Å, degrees): 4.5198 4.8895 4.8895 90.00 90.00 90.00
Fractional positions:
Nd 0.5000 0.0000 0.0000
Sn 0.0000 0.0000 0.5000
Sn 0.0000 0.5000 0.0000
Tm 0.5000 0.5000 0.5000

# 14
The following is a DFT calculation (PBE-GGA) of a geometry-optimized UPa2N structure.

The calculation puts the total DFT energy (no corrections) at -9.93 eV/atom. Its formation energy from raw total energies is -0.281 eV per atom.

Lattice parameters (Å, degrees): 3.5802 3.5802 6.6695 74.43 74.43 60.00
Fractional positions:
U 0.0000 0.0000 0.0000
Pa 0.2451 0.2451 0.2646
N 0.5000 0.5000 0.5000
Pa 0.7549 0.7549 0.7354

# 15
The following is a DFT calculation (PBE-GGA) of a geometry-optimized NdHo2Ga structure.

The calculation puts the total DFT energy (no corrections) at -4.48 eV/atom. Its formation energy is -247 meV per atom.

Lattice parameters (Å, degrees): 4.2956 6.4336 8.9301 90.00 90.00 109.49
Fractional positions:
Ho 0.6452 0.2904 0.4444
Ho 0.6452 0.2904 0.0556
Ho 0.3548 0.7096 0.5556
Nd 0.0593 0.1187 0.7500
Ga 0.2486 0.4973 0.2500
Ho 0.3548 0.7096 0.9444
Nd 0.9407 0.8813 0.2500
Ga 0.7514 0.5027 0.7500

# 16
The following is a DFT calculation (PBE-GGA) of a geometry-optimized Sc2MnHg structure.

The calculation puts the total DFT energy (no corrections) at -5.45 eV/atom. Its formation energy is 79 meV per atom.

Lattice parameters (Å, degrees): 8.7592 8.7592 8.7592 21.55 21.55 21.55
Each line ends with the local moment (μB).
Fractional positions:
Hg 0.2500 0.2500 0.2500  0.00
Sc 0.0127 0.0127 0.0127  -0.12
Sc 0.4873 0.4873 0.4873  -0.12
Mn 0.7500 0.7500 0.7500  1.02

# 17
The following is a DFT calculation (PBE-GGA) of a geometry-optimized SmIn3Br6 structure.

The calculation puts the total DFT energy (no corrections) at -3.45 eV/atom. Its formation energy from raw total energies is -1.151 eV per atom.

Lattice parameters (Å, degrees): 7.7039 8.7462 11.3406 90.00 86.07 90.00
Fractional positions:
In 0.4737 0.0813 0.2218
Br 0.1609 0.2708 0.0868
In 0.5263 0.9187 0.7782
Sm 0.5000 0.5000 0.5000
Br 0.1438 0.0714 0.7657
In 0.0263 0.5813 0.2782
In 0.9737 0.4187 0.7218
Br 0.3391 0.7708 0.4132
Br 0.1865 0.3352 0.4594
In 0.0000 0.0000 0.5000
Br 0.6609 0.2292 0.5868
Br 0.3135 0.8352 0.0406
In 0.5000 0.5000 0.0000
Br 0.3562 0.5714 0.7343
Br 0.8135 0.6648 0.5406
Br 0.8562 0.9286 0.2343
Br 0.8391 0.7292 0.9132
Br 0.6865 0.1648 0.9594
Br 0.6438 0.4286 0.2657
Sm 0.0000 0.0000 0.0000

# 18
The following is a DFT calculation (PBE-GGA) of a geometry-optimized MgPa2Sn structure.

The calculation puts the total DFT energy (no corrections) at -5.95 eV/atom. Its formation energy is 199 meV per atom.

Lattice parameters (Å, degrees): 3.1588 3.1588 12.2044 82.56 82.56 60.00
Each line ends with the local moment (μB).
Fractional positions:
Sn 0.5000 0.5000 0.5000  0.00
Pa 0.0898 0.0898 0.7305  0.15
Pa 0.9102 0.9102 0.2695  0.15
Mg 0.0000 0.0000 0.0000  0.00

# 19
The following is a DFT calculation (PBE-GGA) of a geometry-optimized CeHoRh2 structure.

The calculation puts the total DFT energy (no corrections) at -7.09 eV/atom. Its formation energy is -783 meV per atom.

Lattice parameters (Å, degrees): 3.4396 3.4396 6.9499 90.00 90.00 90.00
Each line ends with the local moment (μB).
Fractional positions:
Rh 0.0000 0.0000 0.2521  -0.02
Rh 0.0000 0.0000 0.7479  -0.02
Ce 0.5000 0.5000 0.5000  0.14
Ho 0.5000 0.5000 0.0000  0.00

# 20
The following is a DFT calculation (PBE-GGA) of a geometry-optimized K4CuPd3O8 structure.

The calculation puts the total DFT energy (no corrections) at -4.82 eV/atom. Its formation energy from raw total energies is -0.839 eV per atom.

Lattice parameters (Å, degrees): 6.2415 6.6745 7.0936 116.87 116.10 90.00
Each line ends with the local moment (μB).
Fractional positions:
Cu 0.0000 0.5000 0.0000  0.49
Pd 0.5000 0.5000 0.5000  0.02
Pd 0.5000 0.5000 0.0000  0.05
K 0.5000 0.0000 0.0000  0.00
O 0.3063 0.3914 0.1237  0.10
O 0.6937 0.6086 0.8763  0.10
K 0.0000 0.0000 0.5000  0.00
O 0.2277 0.2834 0.4555  0.00
O 0.2696 0.7156 0.5392  0.00
K 0.0000 0.0000 0.0000  0.00
Pd 0.0000 0.5000 0.5000  0.02
O 0.1826 0.6086 0.8763  0.10
O 0.7723 0.7166 0.5445  0.00
O 0.7304 0.2844 0.4608  0.00
K 0.5000 0.0000 0.5000  0.00
O 0.8174 0.3914 0.1237  0.10

# 21
The following is a DFT calculation (PBE-GGA) of a geometry-optimized RbNaNb3 structure.

The calculation puts the total DFT energy (no corrections) at -3.75 eV/atom. Its formation energy is 2750 meV per atom.

Lattice parameters (Å, degrees): 4.9155 4.9155 4.9155 90.00 90.00 90.00
Fractional positions:
Na 0.5000 0.5000 0.5000
Nb 0.0000 0.0000 0.5000
Nb 0.5000 0.0000 0.0000
Rb 0.0000 0.0000 0.0000
Nb 0.0000 0.5000 0.0000

# 22
The following is a DFT calculation (PBE-GGA) of a geometry-optimized KOsPb2 structure.

The calculation puts the total DFT energy (no corrections) at -4.34 eV/atom. Its formation energy is 599 meV per atom.

Lattice parameters (Å, degrees): 3.2905 4.3472 8.6528 90.00 90.00 90.00
Fractional positions:
Pb 0.5000 0.5000 0.2066
Pb 0.0000 0.0000 0.8968
K 0.0000 0.0000 0.5045
Os 0.5000 0.5000 0.8922

# 23
The following is a DFT calculation (PBE-GGA) of a geometry-optimized ScZn2Br structure.

The calculation puts the total DFT energy (no corrections) at -2.72 eV/atom. Its formation energy from raw total energies is -0.079 eV per atom.

Lattice parameters (Å, degrees): 4.8129 4.8129 4.8129 60.00 60.00 60.00
Fractional positions:
Zn 0.0000 0.0000 0.0000
Br 0.5000 0.5000 0.5000
Zn 0.2500 0.2500 0.2500
Sc 0.7500 0.7500 0.7500

# 24
The following is a DFT calculation (PBE-GGA) of a geometry-optimized VRe3C structure.

The calculation puts the total DFT energy (no corrections) at -8.10 eV/atom. Its formation energy is 3038 meV per atom.

Lattice parameters (Å, degrees): 4.4765 4.4765 4.4765 90.00 90.00 90.00
Each line ends with the local moment (μB).
Fractional positions:
C 0.5000 0.5000 0.5000  0.06
Re 0.5000 0.0000 0.0000  -0.29
V 0.0000 0.0000 0.0000  0.04
Re 0.0000 0.5000 0.0000  -0.29
Re 0.0000 0.0000 0.5000  -0.29

# 25
The following is a DFT calculation (PBE-GGA) of a geometry-optimized Dy7Ho2Er2 structure.

The calculation puts the total DFT energy (no corrections) at -4.43 eV/atom. Its formation energy is 163 meV per atom.

Lattice parameters (Å, degrees): 5.9909 11.1047 7.9431 45.65 105.90 113.08
Fractional positions:
Dy 0.8246 0.0601 0.5293
Dy 0.8246 0.5894 0.4707
Er 0.1977 0.4130 0.0000
Dy 0.1754 0.9399 0.4707
Dy 0.4130 0.7687 0.0000
Er 0.8023 0.5870 0.0000
Ho 0.5000 0.2169 0.5663
Dy 0.5870 0.2313 0.0000
Dy 0.1754 0.4106 0.5293
Dy 0.0000 0.0000 0.0000
Ho 0.5000 0.7831 0.4337

# 26
The following is a DFT calculation (PBE-GGA) of a geometry-optimized Pu2NpGe structure.

The calculation puts the total DFT energy (no corrections) at -11.65 eV/atom. Its formation energy is -95 meV per atom.

Lattice parameters (Å, degrees): 3.4940 6.0865 8.0678 90.00 77.76 90.00
Each line ends with the local moment (μB).
Fractional positions:
Pu 0.3115 0.6853 0.8604  -1.65
Pu 0.0145 0.6040 0.4616  5.10
Ge 0.4336 0.2645 0.6221  -0.05
Ge 0.6644 0.7645 0.1619  -0.05
Np 0.2155 0.3795 0.0694  0.28
Np 0.8826 0.8795 0.7146  0.28
Pu 0.0835 0.1040 0.3225  5.10
Pu 0.7865 0.1853 0.9236  -1.65